<w>
## Be3TeI (GGA-PBE)

Data for a relaxed Be3TeI crystal.

Lattice parameters (Å, degrees): 4.8356 4.8356 4.8356 90.00 90.00 90.00
Closest atoms and distances in Å follow each position.
Sites, in units of the cell vectors:
I (0.0000, 0.0000, 0.0000)  6 Be 2.42
Be (0.0000, 0.5000, 0.0000)  2 I 2.42
Be (0.0000, 0.0000, 0.5000)  2 I 2.42
Be (0.5000, 0.0000, 0.0000)  2 I 2.42
Te (0.5000, 0.5000, 0.5000)  12 Be 3.42

density: 4.13 Mg/m³
DOS(E_F): 4.27 states/eV/f.u.
space group: Pm-3m


<x>
## Be3TeI (GGA-PBE)

Data for a relaxed Be3TeI crystal.

Lattice parameters (Å, degrees): 4.9180 4.9180 4.9180 90.00 90.00 90.00
Closest atoms and distances in Å follow each position.
Sites, in units of the cell vectors:
I (0.5000, 0.5000, 0.5000)  12 Be 3.48
Be (0.0000, 0.5000, 0.0000)  2 Te 2.46
Be (0.0000, 0.0000, 0.5000)  2 Te 2.46
Be (0.5000, 0.0000, 0.0000)  2 Te 2.46
Te (0.0000, 0.0000, 0.0000)  6 Be 2.46

density: 3.93 Mg/m³
DOS(E_F): 4.03 states/eV/f.u.
space group: Pm-3m


Here is how they stack up, most stable first: <x>, <w>.


<w>
## BeTlTeI2 (GGA-PBE)

Data for a relaxed BeTlTeI2 crystal.

Lattice parameters (Å, degrees): 6.0318 6.0318 5.9065 90.00 90.00 90.00
Closest atoms and distances in Å follow each position.
Sites, in units of the cell vectors:
I (0.0000, 0.5000, 0.0000)  2 Tl 3.02
I (0.5000, 0.0000, 0.0000)  2 Tl 3.02
Be (0.5000, 0.5000, 0.5000)  8 I 4.22, 4 Te 4.27
Tl (0.0000, 0.0000, 0.0000)  2 Te 2.95, 4 I 3.02
Te (0.0000, 0.0000, 0.5000)  2 Tl 2.95

density: 4.60 Mg/m³
DOS(E_F): 4.33 states/eV/f.u.
space group: P4/mmm


<x>
## BeTlTeI2 (GGA-PBE)

Data for a relaxed BeTlTeI2 crystal.

Lattice parameters (Å, degrees): 5.5174 5.5174 5.0793 90.00 90.00 90.00
Closest atoms and distances in Å follow each position.
Sites, in units of the cell vectors:
I (0.0000, 0.5000, 0.0000)  2 Be 2.76
I (0.5000, 0.0000, 0.0000)  2 Be 2.76
Be (0.0000, 0.0000, 0.0000)  2 Te 2.54, 4 I 2.76
Tl (0.5000, 0.5000, 0.5000)  8 I 3.75, 4 Te 3.90
Te (0.0000, 0.0000, 0.5000)  2 Be 2.54

density: 6.39 Mg/m³
DOS(E_F): 1.18 states/eV/f.u.
space group: P4/mmm


Here is how they stack up, most stable first: <x>, <w>.


<w>
## BeVTe2I (GGA-PBE)

Data for a relaxed BeVTe2I crystal.

Lattice parameters (Å, degrees): 4.9650 4.9650 5.1548 90.00 90.00 90.00
Closest atoms and distances in Å follow each position.
Sites, in units of the cell vectors:
I (0.0000, 0.0000, 0.5000)  2 Be 2.58
Be (0.0000, 0.0000, 0.0000)  4 Te 2.48, 2 I 2.58
Te (0.0000, 0.5000, 0.0000)  2 Be 2.48
Te (0.5000, 0.0000, 0.0000)  2 Be 2.48
V (0.5000, 0.5000, 0.5000)  4 I 3.51, 8 Te 3.58

density: 5.78 Mg/m³
DOS(E_F): 7.36 states/eV/f.u.
space group: P4/mmm


<x>
## BeVTe2I (GGA-PBE)

Data for a relaxed BeVTe2I crystal.

Lattice parameters (Å, degrees): 5.1326 5.1326 5.8350 90.00 90.00 90.00
Closest atoms and distances in Å follow each position.
Sites, in units of the cell vectors:
I (0.0000, 0.0000, 0.5000)  2 V 2.92
Be (0.5000, 0.5000, 0.5000)  4 I 3.63, 8 Te 3.89
Te (0.0000, 0.5000, 0.0000)  2 V 2.57
Te (0.5000, 0.0000, 0.0000)  2 V 2.57
V (0.0000, 0.0000, 0.0000)  4 Te 2.57

density: 4.78 Mg/m³
DOS(E_F): 3.84 states/eV/f.u.
space group: P4/mmm


Here is how they stack up, most stable first: <x>, <w>.


<w>
## BeTeWI2 (GGA-PBE)

Data for a relaxed BeTeWI2 crystal.

Lattice parameters (Å, degrees): 5.6836 5.6836 5.2188 90.00 90.00 90.00
Closest atoms and distances in Å follow each position.
Sites, in units of the cell vectors:
I (0.0000, 0.5000, 0.0000)  2 W 2.84
I (0.5000, 0.0000, 0.0000)  2 W 2.84
Be (0.5000, 0.5000, 0.5000)  8 I 3.86, 4 Te 4.02
Te (0.0000, 0.0000, 0.5000)  2 W 2.61
W (0.0000, 0.0000, 0.0000)  2 Te 2.61, 4 I 2.84

density: 5.66 Mg/m³
DOS(E_F): 2.96 states/eV/f.u.
space group: P4/mmm


<x>
## BeTeWI2 (GGA-PBE)

Data for a relaxed BeTeWI2 crystal.

Lattice parameters (Å, degrees): 5.0283 5.0283 5.2605 90.00 90.00 90.00
Closest atoms and distances in Å follow each position.
Sites, in units of the cell vectors:
I (0.0000, 0.5000, 0.0000)  2 Be 2.51
I (0.5000, 0.0000, 0.0000)  2 Be 2.51
Be (0.0000, 0.0000, 0.0000)  4 I 2.51, 2 Te 2.63
Te (0.0000, 0.0000, 0.5000)  2 Be 2.63
W (0.5000, 0.5000, 0.5000)  4 Te 3.56, 8 I 3.64

density: 7.17 Mg/m³
DOS(E_F): 3.57 states/eV/f.u.
space group: P4/mmm


Here is how they stack up, most stable first: <w>, <x>.


<w>
## YBeTeI2 (GGA-PBE)

Data for a relaxed YBeTeI2 crystal.

Lattice parameters (Å, degrees): 5.9520 5.9520 6.0456 90.00 90.00 90.00
Closest atoms and distances in Å follow each position.
Sites, in units of the cell vectors:
I (0.0000, 0.5000, 0.0000)  2 Y 2.98
I (0.5000, 0.0000, 0.0000)  2 Y 2.98
Y (0.0000, 0.0000, 0.0000)  4 I 2.98, 2 Te 3.02
Te (0.0000, 0.0000, 0.5000)  2 Y 3.02
Be (0.5000, 0.5000, 0.5000)  4 Te 4.21, 8 I 4.24

density: 3.72 Mg/m³
DOS(E_F): 4.33 states/eV/f.u.
space group: P4/mmm


<x>
## YBeTeI2 (GGA-PBE)

Data for a relaxed YBeTeI2 crystal.

Lattice parameters (Å, degrees): 5.1037 5.1037 5.4061 90.00 90.00 90.00
Closest atoms and distances in Å follow each position.
Sites, in units of the cell vectors:
I (0.0000, 0.5000, 0.0000)  2 Be 2.55
I (0.5000, 0.0000, 0.0000)  2 Be 2.55
Y (0.5000, 0.5000, 0.5000)  4 Te 3.61, 8 I 3.72
Te (0.0000, 0.0000, 0.5000)  2 Be 2.70
Be (0.0000, 0.0000, 0.0000)  4 I 2.55, 2 Te 2.70

density: 5.65 Mg/m³
DOS(E_F): 3.18 states/eV/f.u.
space group: P4/mmm


Here is how they stack up, most stable first: <x>, <w>.


<w>
## BeZnTe2I (GGA-PBE)

Data for a relaxed BeZnTe2I crystal.

Lattice parameters (Å, degrees): 5.0779 5.0779 5.2195 90.00 90.00 90.00
Closest atoms and distances in Å follow each position.
Sites, in units of the cell vectors:
I (0.0000, 0.0000, 0.5000)  2 Be 2.61
Be (0.0000, 0.0000, 0.0000)  4 Te 2.54, 2 I 2.61
Zn (0.5000, 0.5000, 0.5000)  4 I 3.59, 8 Te 3.64
Te (0.0000, 0.5000, 0.0000)  2 Be 2.54
Te (0.5000, 0.0000, 0.0000)  2 Be 2.54

density: 5.63 Mg/m³
DOS(E_F): 5.12 states/eV/f.u.
space group: P4/mmm


<x>
## BeZnTe2I (GGA-PBE)

Data for a relaxed BeZnTe2I crystal.

Lattice parameters (Å, degrees): 5.3183 5.3183 5.5429 90.00 90.00 90.00
Closest atoms and distances in Å follow each position.
Sites, in units of the cell vectors:
I (0.0000, 0.0000, 0.5000)  2 Zn 2.77
Be (0.5000, 0.5000, 0.5000)  4 I 3.76, 8 Te 3.84
Zn (0.0000, 0.0000, 0.0000)  4 Te 2.66, 2 I 2.77
Te (0.0000, 0.5000, 0.0000)  2 Zn 2.66
Te (0.5000, 0.0000, 0.0000)  2 Zn 2.66

density: 4.84 Mg/m³
DOS(E_F): 5.73 states/eV/f.u.
space group: P4/mmm


Here is how they stack up, most stable first: <w>, <x>.


<w>
## ZrBeTe2I (GGA-PBE)

Data for a relaxed ZrBeTe2I crystal.

Lattice parameters (Å, degrees): 5.0233 5.0233 5.0940 90.00 90.00 90.00
Closest atoms and distances in Å follow each position.
Sites, in units of the cell vectors:
I (0.0000, 0.0000, 0.5000)  2 Be 2.55
Be (0.0000, 0.0000, 0.0000)  4 Te 2.51, 2 I 2.55
Te (0.0000, 0.5000, 0.0000)  2 Be 2.51
Te (0.5000, 0.0000, 0.0000)  2 Be 2.51
Zr (0.5000, 0.5000, 0.5000)  4 I 3.55, 8 Te 3.58

density: 6.23 Mg/m³
DOS(E_F): 4.08 states/eV/f.u.
space group: P4/mmm


<x>
## ZrBeTe2I (GGA-PBE)

Data for a relaxed ZrBeTe2I crystal.

Lattice parameters (Å, degrees): 5.5967 5.5967 5.8494 90.00 90.00 90.00
Closest atoms and distances in Å follow each position.
Sites, in units of the cell vectors:
I (0.0000, 0.0000, 0.5000)  2 Zr 2.92
Be (0.5000, 0.5000, 0.5000)  4 I 3.96, 8 Te 4.05
Te (0.0000, 0.5000, 0.0000)  2 Zr 2.80
Te (0.5000, 0.0000, 0.0000)  2 Zr 2.80
Zr (0.0000, 0.0000, 0.0000)  4 Te 2.80, 2 I 2.92

density: 4.37 Mg/m³
DOS(E_F): 3.69 states/eV/f.u.
space group: P4/mmm


Here is how they stack up, most stable first: <w>, <x>.


<w>
## ThBeI (GGA-PBE)

Data for a relaxed ThBeI crystal.

Lattice parameters (Å, degrees): 4.2563 3.9910 11.9433 90.00 100.26 90.00
Closest atoms and distances in Å follow each position.
Sites, in units of the cell vectors:
Be (0.4834, 0.7500, 0.9669)  2 Be 2.14
Be (0.5166, 0.2500, 0.0331)  2 Be 2.14
I (0.8289, 0.7500, 0.6579)  2 Th 3.18
I (0.1711, 0.2500, 0.3421)  2 Th 3.18
Th (0.9345, 0.2500, 0.8690)  6 Be 2.87-3.14, 2 I 3.18
Th (0.0655, 0.7500, 0.1310)  6 Be 2.87-3.14, 2 I 3.18

density: 6.12 Mg/m³
DOS(E_F): 3.10 states/eV/f.u.
space group: Cmcm


<x>
## ThBeI (GGA-PBE)

Data for a relaxed ThBeI crystal.

Lattice parameters (Å, degrees): 4.0168 4.0168 12.6059 88.92 88.92 60.01
Closest atoms and distances in Å follow each position.
Sites, in units of the cell vectors:
Th (0.9940, 0.9940, 0.6492)  6 Be 2.98-2.99, 3 I 3.27
Th (0.0060, 0.0060, 0.3508)  6 Be 2.98-2.99, 3 I 3.27
Be (0.6666, 0.6666, 0.5006)  3 Be 2.32
Be (0.3334, 0.3334, 0.4994)  3 Be 2.32
I (0.6800, 0.6800, 0.1680)  3 Th 3.27
I (0.3200, 0.3200, 0.8320)  3 Th 3.27

density: 6.94 Mg/m³
DOS(E_F): 2.69 states/eV/f.u.
space group: C2/m


Here is how they stack up, most stable first: <x>, <w>.


<w>
## BeTl2I (GGA-PBE)

Data for a relaxed BeTl2I crystal.

Lattice parameters (Å, degrees): 5.6520 5.6520 5.6520 60.00 60.00 60.00
Closest atoms and distances in Å follow each position.
Sites, in units of the cell vectors:
I (0.5000, 0.5000, 0.5000)  8 Tl 3.46
Be (0.0000, 0.0000, 0.0000)  8 Tl 3.46
Tl (0.2500, 0.2500, 0.2500)  4 I 3.46, 4 Be 3.46
Tl (0.7500, 0.7500, 0.7500)  4 I 3.46, 4 Be 3.46

density: 7.08 Mg/m³
DOS(E_F): 4.12 states/eV/f.u.
space group: Fm-3m


<x>
## BeTl2I (GGA-PBE)

Data for a relaxed BeTl2I crystal.

Lattice parameters (Å, degrees): 6.4324 6.4324 8.1867 66.87 66.87 90.00
Closest atoms and distances in Å follow each position.
Sites, in units of the cell vectors:
I (0.0000, 0.0000, 0.0000)  4 Tl 3.36
I (0.7500, 0.2500, 0.5000)  4 Tl 3.36
Be (0.5000, 0.5000, 0.0000)  4 Tl 2.47
Be (0.2500, 0.7500, 0.5000)  4 Tl 2.47
Tl (0.4995, 0.1250, 0.2500)  2 Be 2.47
Tl (0.2505, 0.6250, 0.2500)  2 Be 2.47
Tl (0.3750, 0.5005, 0.7500)  2 Be 2.47
Tl (0.8750, 0.7495, 0.7500)  2 Be 2.47

density: 6.42 Mg/m³
DOS(E_F): 2.24 states/eV/f.u.
space group: I-42d


Here is how they stack up, most stable first: <x>, <w>.


<w>
## BeTl3I (GGA-PBE)

Data for a relaxed BeTl3I crystal.

Lattice parameters (Å, degrees): 6.4546 6.4546 6.4546 90.00 90.00 90.00
Closest atoms and distances in Å follow each position.
Sites, in units of the cell vectors:
I (0.0000, 0.0000, 0.0000)  6 Tl 3.23
Be (0.5000, 0.5000, 0.5000)  12 Tl 4.56
Tl (0.0000, 0.5000, 0.0000)  2 I 3.23
Tl (0.0000, 0.0000, 0.5000)  2 I 3.23
Tl (0.5000, 0.0000, 0.0000)  2 I 3.23

density: 4.63 Mg/m³
DOS(E_F): 4.36 states/eV/f.u.
space group: Pm-3m


<x>
## BeTl3I (GGA-PBE)

Data for a relaxed BeTl3I crystal.

Lattice parameters (Å, degrees): 5.2752 5.2752 5.2752 90.00 90.00 90.00
Closest atoms and distances in Å follow each position.
Sites, in units of the cell vectors:
I (0.5000, 0.5000, 0.5000)  12 Tl 3.73
Be (0.0000, 0.0000, 0.0000)  6 Tl 2.64
Tl (0.0000, 0.5000, 0.0000)  2 Be 2.64
Tl (0.0000, 0.0000, 0.5000)  2 Be 2.64
Tl (0.5000, 0.0000, 0.0000)  2 Be 2.64

density: 8.47 Mg/m³
DOS(E_F): 1.84 states/eV/f.u.
space group: Pm-3m


Here is how they stack up, most stable first: <x>, <w>.


<w>
## BeVI2 (GGA-PBE)

Data for a relaxed BeVI2 crystal.

Lattice parameters (Å, degrees): 6.2328 6.2328 7.2080 64.38 64.38 90.00
Closest atoms and distances in Å follow each position.
Sites, in units of the cell vectors:
I (0.5853, 0.1250, 0.2500)  2 Be 2.49, 2 V 2.78
I (0.1647, 0.6250, 0.2500)  2 Be 2.49, 2 V 2.78
I (0.3750, 0.4147, 0.7500)  2 Be 2.49, 2 V 2.78
I (0.8750, 0.8353, 0.7500)  2 Be 2.49, 2 V 2.78
Be (0.5000, 0.5000, 0.0000)  4 I 2.49
Be (0.2500, 0.7500, 0.5000)  4 I 2.49
V (0.0000, 0.0000, 0.0000)  4 I 2.78
V (0.7500, 0.2500, 0.5000)  4 I 2.78

density: 4.70 Mg/m³
DOS(E_F): 4.10 states/eV/f.u.
space group: I-42d


<x>
## BeVI2 (GGA-PBE)

Data for a relaxed BeVI2 crystal.

Lattice parameters (Å, degrees): 4.8162 4.8162 4.8162 60.00 60.00 60.00
Closest atoms and distances in Å follow each position.
Sites, in units of the cell vectors:
I (0.2500, 0.2500, 0.2500)  4 Be 2.95, 4 V 2.95
I (0.7500, 0.7500, 0.7500)  4 Be 2.95, 4 V 2.95
Be (0.0000, 0.0000, 0.0000)  8 I 2.95
V (0.5000, 0.5000, 0.5000)  8 I 2.95

density: 6.60 Mg/m³
DOS(E_F): 2.23 states/eV/f.u.
space group: Fm-3m


Here is how they stack up, most stable first: <w>, <x>.


<w>
## BeVI3 (GGA-PBE)

Data for a relaxed BeVI3 crystal.

Lattice parameters (Å, degrees): 5.5373 5.5373 5.5373 90.00 90.00 90.00
Closest atoms and distances in Å follow each position.
Sites, in units of the cell vectors:
I (0.0000, 0.5000, 0.0000)  2 V 2.77
I (0.0000, 0.0000, 0.5000)  2 V 2.77
I (0.5000, 0.0000, 0.0000)  2 V 2.77
Be (0.5000, 0.5000, 0.5000)  12 I 3.92
V (0.0000, 0.0000, 0.0000)  6 I 2.77

density: 4.31 Mg/m³
DOS(E_F): 4.94 states/eV/f.u.
space group: Pm-3m


<x>
## BeVI3 (GGA-PBE)

Data for a relaxed BeVI3 crystal.

Lattice parameters (Å, degrees): 5.2679 5.2679 5.2679 90.00 90.00 90.00
Closest atoms and distances in Å follow each position.
Sites, in units of the cell vectors:
I (0.0000, 0.5000, 0.0000)  2 Be 2.63
I (0.0000, 0.0000, 0.5000)  2 Be 2.63
I (0.5000, 0.0000, 0.0000)  2 Be 2.63
Be (0.0000, 0.0000, 0.0000)  6 I 2.63
V (0.5000, 0.5000, 0.5000)  12 I 3.72

density: 5.01 Mg/m³
DOS(E_F): 7.46 states/eV/f.u.
space group: Pm-3m


Here is how they stack up, most stable first: <w>, <x>.